VASP calculation (PBE-GGA) on a relaxed RbSr3Mo crystal.

Lattice parameters (Å, degrees): 6.261 6.261 6.261 90.00 90.00 90.00
Fractional coordinates of all 5 atoms:
Rb 0.000 0.000 0.000
Sr 0.000 0.000 0.500
Sr 0.000 0.500 0.000
Sr 0.500 0.000 0.000
Mo 0.500 0.500 0.500

crystal system: cubic
DFT total energy: -8.3 eV/cell
Fermi-level density of states: 7.43 states/eV/cell
total magnetic moment: 1.491 Bohr magnetons per cell
formation enthalpy at 0 K: 1.70 eV per atom
SG: Pm-3m
relative energy among the computed polymorphs: 983 meV per atom